(1)
AlReAsO2 | PBE | relaxed

Cell and atoms, written as POSCAR:
```
AlReAsO2
1.0
3.766 0.000 0.000
0.000 3.766 0.000
0.000 0.000 5.724
Al Re As O
1 1 1 2
Direct
0.000 0.000 0.000 Al
0.000 0.000 0.500 Re
0.500 0.500 0.000 As
0.000 0.500 0.500 O
0.500 0.000 0.500 O
```

Values from the calculation:
Crystal system: tetragonal
Volume: 16.2 Å³ per atom
Total DFT energy (no corrections): -6.753 eV/atom
Formation energy from raw total energies: -3.0 eV per formula unit



(2)
AlAs2RuO | PBE | relaxed

Cell and atoms, written as POSCAR:
```
AlAs2RuO
1.0
5.029 0.000 0.000
0.000 5.029 0.000
0.000 0.000 3.301
Al As Ru O
1 2 1 1
Direct
0.000 0.000 0.000 Al
0.000 0.500 0.000 As
0.500 0.000 0.000 As
0.500 0.500 0.500 Ru
0.000 0.000 0.500 O
```

Values from the calculation:
Crystal system: tetragonal
Volume: 16.7 Å³ per atom
Total DFT energy (no corrections): -5.428 eV/atom
Formation energy from raw total energies: 0.1 eV per formula unit



(3)
ScAlAs2O8 | PBE | relaxed

Cell and atoms, written as POSCAR:
```
ScAlAs2O8
1.0
-3.295 3.295 3.082
3.295 -3.295 3.082
3.295 3.295 -3.082
Sc Al As O
1 1 2 8
Direct
0.000 0.000 0.000 Sc
0.250 0.750 0.500 Al
0.500 0.500 0.000 As
0.750 0.250 0.500 As
0.313 0.117 0.804 O
0.313 0.509 0.196 O
0.371 0.057 0.314 O
0.491 0.687 0.804 O
0.744 0.057 0.686 O
0.883 0.687 0.196 O
0.943 0.256 0.314 O
0.943 0.629 0.686 O
```

Values from the calculation:
Crystal system: tetragonal
Volume: 11.2 Å³ per atom
Total DFT energy (no corrections): -6.856 eV/atom
Formation energy from raw total energies: -23.2 eV per formula unit



(4)
AlAs2SeO | PBE | relaxed

Cell and atoms, written as POSCAR:
```
AlAs2SeO
1.0
4.826 0.000 0.000
0.000 4.826 0.000
0.000 0.000 4.666
Al As Se O
1 2 1 1
Direct
0.000 0.000 0.000 Al
0.000 0.500 0.000 As
0.500 0.000 0.000 As
0.000 0.000 0.500 Se
0.500 0.500 0.500 O
```

Values from the calculation:
Crystal system: tetragonal
Volume: 21.7 Å³ per atom
Energy above the most stable polymorph in this dataset: 607 meV/atom
Total DFT energy (no corrections): -3.402 eV/atom
Formation energy from raw total energies: 4.5 eV per formula unit



| no. | mass density (kg/m³) |
| --- | --- |
| 1 | 6548 |
| 2 | 5847 |
| 3 | 4339 |
| 4 | 4152 |